4
Lattice="-4.2881 0.5613 -0.6645 0.1351 -2.8244 -3.2576 -0.9971 -5.4537 1.8279" Properties=species:S:1:pos:R:3 comment="PBE-GGA La2ReAs, relaxed" ef_mev_per_atom=-408 spacegroup="Amm2 (38)" pbc="T T T"
Re -0.4017 -4.6537 -1.3388
As -2.8194 -5.4115 -0.7821
La -0.7682 -7.7134 -1.5578
La -2.4538 -2.3556 -0.5602